1.
# TaIn2Mo

A crystal of TaIn2Mo relaxed with PBEsol (meta-GGA SCAN, the Alexandria database).

a = 9.9504 Å, b = 2.8791 Å, c = 5.1709 Å
α = 90.00°, β = 96.10°, γ = 90.00°
With the nearest neighbours (Å) after each atom.
Space group Cm (No. 8)
Asymmetric unit:
Ta  0.0000  0.0000  0.0000 x2  3 Mo 2.88-3.02, 2 Ta 2.88, 7 In 2.91-3.04
In  0.2515  0.0000  0.7451 x2  5 In 2.88-3.10, 4 Mo 2.92-3.00, 3 Ta 2.95-3.04
In  0.4950  0.0000  0.4880 x2  5 In 2.88-3.10, 4 Ta 2.91-3.01, 3 Mo 2.98-3.00
Mo  0.2509  0.5000  0.2356 x2  3 Ta 2.88-3.02, 2 Mo 2.88, 7 In 2.92-3.00

Calculated values
Relative energy among the computed polymorphs: 0.098 eV/atom
ΔH_f (0 K): 323 meV/atom

2.
# Gd2SO2

A crystal of Gd2SO2 relaxed with PBEsol (meta-GGA SCAN, the Alexandria database).

a = 3.8197 Å, b = 3.8197 Å, c = 6.5961 Å
α = 90.00°, β = 90.00°, γ = 120.00°
With the nearest neighbours (Å) after each atom.
Space group P-3m1 (No. 164)
Asymmetric unit:
Gd  0.3333  0.6667  0.2196 x2  4 O 2.28-2.30
S  0.0000  0.0000  0.5000 x1  6 Gd 2.88
O  0.3333  0.6667  0.8704 x2  4 Gd 2.28-2.30

Calculated values
Formation energy without anion corrections: -3.408 eV/atom

3.
# SrCdCl2

A crystal of SrCdCl2 relaxed with PBEsol (meta-GGA SCAN, the Alexandria database).

a = 3.7388 Å, b = 4.5344 Å, c = 14.4105 Å
α = 90.00°, β = 90.00°, γ = 90.00°
With the nearest neighbours (Å) after each atom.
Space group Imm2 (No. 44)
Asymmetric unit:
Sr  0.0000  0.0000  0.0000 x2  6 Cl 2.82-2.98
Cd  0.0000  0.5000  0.7249 x2  6 Cl 3.48-3.54, 2 Cd 3.74, 2 Sr 3.74
Cl  0.0000  0.0000  0.5363 x2  4 Sr 2.98
Cl  0.0000  0.5000  0.3539 x2  2 Sr 2.82

Calculated values
Formation energy without anion corrections: -1.689 eV/atom
Relative energy among the computed polymorphs: 0.000 eV/atom

4.
# Zr2CdCo

A crystal of Zr2CdCo relaxed with PBEsol (meta-GGA SCAN, the Alexandria database).

a = 3.1417 Å, b = 3.1417 Å, c = 26.3990 Å
α = 90.00°, β = 90.00°, γ = 120.00°
With the nearest neighbours (Å) after each atom.
Space group R3m (No. 160, hexagonal axes)
Asymmetric unit:
Zr  0.0000  0.0000  0.0000 x3  3 Cd 3.12, 9 Zr 3.14
Zr  0.0000  0.0000  0.2361 x3  3 Co 2.48
Cd  0.0000  0.0000  0.7628 x3  3 Co 2.70
Co  0.0000  0.0000  0.5052 x3  3 Zr 2.48, 3 Cd 2.70

Calculated values
ΔH_f (0 K): 204 meV/atom

5.
# CuHRh3

A crystal of CuHRh3 relaxed with PBEsol (meta-GGA SCAN, the Alexandria database).

a = 3.8074 Å, b = 3.8074 Å, c = 3.8074 Å
α = 90.00°, β = 90.00°, γ = 90.00°
With the nearest neighbours (Å) after each atom.
Space group Pm-3m (No. 221)
Asymmetric unit:
Cu  0.0000  0.0000  0.0000 x1  12 Rh 2.69
H  0.5000  0.5000  0.5000 x1  6 Rh 1.90
Rh  0.0000  0.5000  0.5000 x3  2 H 1.90

6.
# Tc2HgBr

A crystal of Tc2HgBr relaxed with PBEsol (meta-GGA SCAN, the Alexandria database).

a = 2.9249 Å, b = 5.0745 Å, c = 9.0926 Å
α = 90.00°, β = 90.00°, γ = 90.00°
With the nearest neighbours (Å) after each atom.
Space group Immm (No. 71)
Asymmetric unit:
Tc  0.0000  0.0000  0.2274 x4  2 Br 2.53
Hg  0.0000  0.5000  0.0000 x2  4 Tc 2.88, 2 Hg 2.92, 4 Br 2.93
Br  0.0000  0.5000  0.5000 x2  4 Tc 2.53

Calculated values
Formation energy without anion corrections: 1.075 eV/atom
Relative energy among the computed polymorphs: 0.428 eV/atom

7.
# Sc4TlRe

A crystal of Sc4TlRe relaxed with PBEsol (meta-GGA SCAN, the Alexandria database).

a = 7.7596 Å, b = 7.7596 Å, c = 7.7596 Å
α = 90.00°, β = 90.00°, γ = 90.00°
With the nearest neighbours (Å) after each atom.
Space group F-43m (No. 216)
Asymmetric unit:
Sc  0.1223  0.1223  0.1223 x16  6 Sc 2.68-2.80
Tl  0.0000  0.0000  0.5000 x4  12 Sc 3.22, 4 Re 3.36
Re  0.2500  0.2500  0.7500 x4  12 Sc 3.21, 4 Tl 3.36

Calculated values
ΔH_f (0 K): 475 meV/atom

8.
# BiRhI2N

A crystal of BiRhI2N relaxed with PBEsol (meta-GGA SCAN, the Alexandria database).

a = 5.6450 Å, b = 5.6450 Å, c = 3.6754 Å
α = 90.00°, β = 90.00°, γ = 90.00°
With the nearest neighbours (Å) after each atom.
Space group P4/mmm (No. 123)
Asymmetric unit:
Bi  0.0000  0.0000  0.0000 x1  8 I 3.37, 2 Bi 3.68
Rh  0.5000  0.5000  0.5000 x1  2 N 1.84
I  0.0000  0.5000  0.5000 x2  2 Rh 2.82
N  0.5000  0.5000  0.0000 x1  2 Rh 1.84

Calculated values
Formation energy without anion corrections: 0.442 eV/atom

no.,total DFT energy (no corrections) (eV/cell)
1,-333.90
2,-156.76
3,-150.80
4,-324.90
5,-119.55
6,-306.89
7,-790.22
8,-192.91